# MoIr2Rh GGA-PBEsol optimized geometry
# excess energy over the best structure of this formula in the dataset: 0.00 eV per formula unit
# E_form: -0.2655 eV/atom
# magnetization: 0.000 μB per atom
data_MoIr2Rh
_chemical_formula_sum 'Mo1 Ir2 Rh1'
_cell_length_a 3.8428
_cell_length_b 3.8428
_cell_length_c 3.8131
_cell_angle_alpha 90.00
_cell_angle_beta 90.00
_cell_angle_gamma 90.00
_space_group_name_H-M_alt 'P 4/m m m'
_space_group_IT_number 123
_space_group_name_Hall '-P 4 2'
loop_
_atom_site_label
_atom_site_fract_x
_atom_site_fract_y
_atom_site_fract_z
Mo1 0.0000 0.0000 0.0000
Ir1 0.0000 0.5000 0.5000
Rh1 0.5000 0.5000 0.0000